# CrSeBr2 (PBE-GGA, relaxed)
data_CrSeBr2
_cell_length_a 13.529
_cell_length_b 3.300
_cell_length_c 6.661
_cell_angle_alpha 90.00
_cell_angle_beta 112.20
_cell_angle_gamma 90.00
_space_group_name_H-M_alt 'C 1 m 1'
_space_group_IT_number 8
loop_
_space_group_symop_operation_xyz
'x,y,z'
'x,-y,z'
'x+1/2,y+1/2,z'
'x+1/2,-y+1/2,z'
loop_
_atom_site_label
_atom_site_type_symbol
_atom_site_fract_x
_atom_site_fract_y
_atom_site_fract_z
Cr1 Cr 0.000 0.000 0.000
Se1 Se 0.404 0.000 0.123
Br1 Br 0.152 0.500 0.174
Br2 Br 0.454 0.000 0.683
# Relative energy among the computed polymorphs ... 58 meV per atom
# Raw formation energy ... -0.354 eV/atom
# Spin magnetization ... 0.499 μB per atom


# Er5InPd2 (PBE-GGA, relaxed)
data_Er5InPd2
_cell_length_a 7.793
_cell_length_b 7.793
_cell_length_c 13.386
_cell_angle_alpha 90.00
_cell_angle_beta 90.00
_cell_angle_gamma 90.00
_space_group_name_H-M_alt 'I 4/m c m'
_space_group_IT_number 140
_space_group_name_Hall '-I 4 2c'
loop_
_atom_site_label
_atom_site_type_symbol
_atom_site_fract_x
_atom_site_fract_y
_atom_site_fract_z
Er1 Er 0.000 0.000 0.000
Er2 Er 0.158 0.342 0.141
In1 In 0.000 0.000 0.250
Pd1 Pd 0.135 0.365 0.500
# Energy relative to the elements ... -608 meV per atom
# Spin magnetization ... 0.000 μB per atom


# HoBi2Pd8 (PBE-GGA, relaxed)
data_HoBi2Pd8
_cell_length_a 15.269
_cell_length_b 4.162
_cell_length_c 6.676
_cell_angle_alpha 90.00
_cell_angle_beta 109.09
_cell_angle_gamma 90.00
_space_group_name_H-M_alt 'C 1 2/m 1'
_space_group_IT_number 12
loop_
_space_group_symop_operation_xyz
'x,y,z'
'-x,-y,-z'
'-x,y,-z'
'x,-y,z'
'x+1/2,y+1/2,z'
'-x+1/2,-y+1/2,-z'
'-x+1/2,y+1/2,-z'
'x+1/2,-y+1/2,z'
loop_
_atom_site_label
_atom_site_type_symbol
_atom_site_fract_x
_atom_site_fract_y
_atom_site_fract_z
Ho1 Ho 0.000 0.000 0.000
Bi1 Bi 0.208 0.500 0.660
Pd1 Pd 0.038 0.500 0.731
Pd2 Pd 0.085 0.000 0.456
Pd3 Pd 0.138 0.500 0.191
Pd4 Pd 0.177 0.000 0.921
# Energy relative to the elements ... -456 meV per atom
# Spin magnetization ... 0.000 μB per atom


# InBH3 (PBE-GGA, relaxed)
data_InBH3
_cell_length_a 3.491
_cell_length_b 3.491
_cell_length_c 3.491
_cell_angle_alpha 90.00
_cell_angle_beta 90.00
_cell_angle_gamma 90.00
_space_group_name_H-M_alt 'P m -3 m'
_space_group_IT_number 221
_space_group_name_Hall '-P 4 2 3'
loop_
_atom_site_label
_atom_site_type_symbol
_atom_site_fract_x
_atom_site_fract_y
_atom_site_fract_z
In1 In 0.000 0.000 0.000
B1 B 0.500 0.500 0.500
H1 H 0.000 0.500 0.500
# Relative energy among the computed polymorphs ... 707 meV per atom
# Spin magnetization ... 0.000 μB per atom


# CeSnGeAu (PBE-GGA, relaxed)
data_CeSnGeAu
_cell_length_a 7.173
_cell_length_b 7.173
_cell_length_c 7.173
_cell_angle_alpha 90.00
_cell_angle_beta 90.00
_cell_angle_gamma 90.00
_space_group_name_H-M_alt 'F -4 3 m'
_space_group_IT_number 216
_space_group_name_Hall 'F -4 2 3'
loop_
_atom_site_label
_atom_site_type_symbol
_atom_site_fract_x
_atom_site_fract_y
_atom_site_fract_z
Ce1 Ce 0.000 0.000 0.000
Sn1 Sn 0.000 0.000 0.500
Ge1 Ge 0.250 0.250 0.250
Au1 Au 0.250 0.250 0.750
# Energy relative to the elements ... -432 meV per atom
# Relative energy among the computed polymorphs ... 13 meV per atom
# Spin magnetization ... 0.247 μB per atom


# Tb2ThAl (PBE-GGA, relaxed)
data_Tb2ThAl
_cell_length_a 7.609
_cell_length_b 7.609
_cell_length_c 7.609
_cell_angle_alpha 90.00
_cell_angle_beta 90.00
_cell_angle_gamma 90.00
_space_group_name_H-M_alt 'F m -3 m'
_space_group_IT_number 225
_space_group_name_Hall '-F 4 2 3'
loop_
_atom_site_label
_atom_site_type_symbol
_atom_site_fract_x
_atom_site_fract_y
_atom_site_fract_z
Tb1 Tb 0.250 0.250 0.250
Th1 Th 0.000 0.000 0.000
Al1 Al 0.000 0.000 0.500
# Energy relative to the elements ... 60 meV per atom
# Relative energy among the computed polymorphs ... 240 meV per atom
# Spin magnetization ... 0.001 μB per atom


# DyTh3N4 (PBE-GGA, relaxed)
data_DyTh3N4
_cell_length_a 5.122
_cell_length_b 5.122
_cell_length_c 5.122
_cell_angle_alpha 90.00
_cell_angle_beta 90.00
_cell_angle_gamma 90.00
_space_group_name_H-M_alt 'P m -3 m'
_space_group_IT_number 221
_space_group_name_Hall '-P 4 2 3'
loop_
_atom_site_label
_atom_site_type_symbol
_atom_site_fract_x
_atom_site_fract_y
_atom_site_fract_z
Dy1 Dy 0.000 0.000 0.000
Th1 Th 0.000 0.500 0.500
N1 N 0.000 0.000 0.500
N2 N 0.500 0.500 0.500
# Raw formation energy ... -1.587 eV/atom
# Spin magnetization ... 0.000 μB per atom


# Pm3Sc4Pb4 (PBE-GGA, relaxed)
data_Pm3Sc4Pb4
_cell_length_a 4.332
_cell_length_b 9.019
_cell_length_c 16.038
_cell_angle_alpha 90.00
_cell_angle_beta 90.00
_cell_angle_gamma 90.00
_space_group_name_H-M_alt 'I m m m'
_space_group_IT_number 71
_space_group_name_Hall '-I 2 2'
loop_
_atom_site_label
_atom_site_type_symbol
_atom_site_fract_x
_atom_site_fract_y
_atom_site_fract_z
Pm1 Pm 0.000 0.000 0.000
Pm2 Pm 0.000 0.500 0.114
Sc1 Sc 0.000 0.302 0.325
Pb1 Pb 0.000 0.000 0.232
Pb2 Pb 0.000 0.213 0.500
# Energy relative to the elements ... -409 meV per atom
# Spin magnetization ... 0.268 μB per atom


Q: The highest spin magnetization belongs to which entry?
A: CrSeBr2


Q: Among the records above, which one has the highest spin magnetization?
A: CrSeBr2


Q: Which of these has the highest spin magnetization?
A: CrSeBr2